# 1
First-principles (PBE) data for an optimized crystal structure of Ce2U2O7, as listed in Alexandria.

Geometry as POSCAR:
```
Ce2U2O7
1.0
0.0000 5.4954 5.4954
5.4954 0.0000 5.4954
5.4954 5.4954 0.0000
Ce U O
4 4 14
Cartesian
0.0000 0.0000 0.0000
2.7477 2.7477 0.0000
2.7477 0.0000 2.7477
0.0000 2.7477 2.7477
5.4954 2.7477 2.7477
2.7477 5.4954 2.7477
2.7477 2.7477 5.4954
5.4954 5.4954 5.4954
1.3739 1.3739 1.3739
4.1216 4.1216 1.6138
4.1216 1.6138 4.1216
6.6294 4.1216 4.1216
6.8693 6.8693 4.3615
6.8693 4.3615 6.8693
9.3771 6.8693 6.8693
1.6138 4.1216 4.1216
4.1216 6.6294 4.1216
4.1216 4.1216 6.6294
4.3615 6.8693 6.8693
6.8693 9.3771 6.8693
6.8693 6.8693 9.3771
9.6170 9.6170 9.6170
```

The calculation puts the size of the total moment at 6.01 μB/f.u. For the formation energy (no corrections), the calculation gives -3.29 eV/atom.

***

# 2
First-principles (PBE) data for an optimized crystal structure of Ce2U2O9, as listed in Alexandria.

Geometry as POSCAR:
```
Ce2U2O9
1.0
-2.7124 2.7124 5.4071
2.7124 -2.7124 5.4071
2.7124 2.7124 -5.4071
Ce U O
2 2 9
Cartesian
0.0000 0.0000 2.5133
0.0000 0.0000 8.3008
2.7124 0.0000 0.0000
0.0000 2.7124 0.0000
0.0000 0.0000 0.0000
1.4392 1.4392 -1.3413
1.2733 -1.2733 4.0657
1.4392 1.4392 1.3413
1.2733 -1.2733 6.7484
-1.2733 1.2733 4.0657
1.2733 1.2733 4.0657
-1.2733 1.2733 6.7484
1.2733 1.2733 6.7484
```

The calculation puts the size of the total moment at 2.04 μB/f.u. For the formation energy (no corrections), the calculation gives -3.12 eV/atom.

***

# 3
First-principles (PBE) data for an optimized crystal structure of CeUO, as listed in Alexandria.

Geometry as POSCAR:
```
CeUO
1.0
6.1503 -1.8725 0.0000
6.1503 1.8725 0.0000
-3.2704 0.0000 6.1447
Ce U O
2 2 2
Cartesian
1.0047 0.0000 1.5071
8.0256 0.0000 4.6376
-0.7273 0.0000 5.5137
9.7575 0.0000 0.6310
0.6026 0.0000 3.7888
8.4276 0.0000 2.3559
```

The calculation puts the size of the total moment at 0.00 μB/f.u. For the formation energy (no corrections), the calculation gives -1.47 eV/atom.

***

# 4
First-principles (PBE) data for an optimized crystal structure of CeY2UO8, as listed in Alexandria.

Geometry as POSCAR:
```
CeY2UO8
1.0
3.8163 0.0000 0.0000
0.0000 5.3854 0.0000
0.0000 0.0000 7.5815
Ce Y U O
1 2 1 8
Cartesian
0.0000 0.0000 0.0000
1.9081 2.6927 1.8946
1.9081 2.6927 5.6869
0.0000 0.0000 3.7908
0.0000 1.2886 2.0400
0.0000 1.2886 5.5415
0.0000 4.0968 2.0400
0.0000 4.0968 5.5415
1.9081 1.2441 3.7908
1.9081 1.3359 0.0000
1.9081 4.0495 0.0000
1.9081 4.1413 3.7908
```

The calculation puts the size of the total moment at 0.00 μB/f.u. For the formation energy (no corrections), the calculation gives -3.44 eV/atom.

***

# 5
First-principles (PBE) data for an optimized crystal structure of CeZrUO6, as listed in Alexandria.

Geometry as POSCAR:
```
CeZrUO6
1.0
5.7053 0.0000 0.0000
-2.8526 4.9409 0.0000
0.0000 0.0000 9.8406
Ce Zr U O
2 2 2 12
Cartesian
0.0000 0.0000 0.0000
0.0000 0.0000 4.9203
0.0000 3.2939 2.4602
2.8526 1.6470 7.3805
0.0000 3.2939 7.3805
2.8526 1.6470 2.4602
-0.9900 1.7565 1.3560
-1.8265 3.2053 3.5643
0.9900 1.7565 3.5643
-0.8365 4.9200 1.3560
2.0161 0.0209 6.2763
1.0261 1.7356 8.4846
1.8265 3.2053 1.3560
0.8365 4.9200 3.5643
3.6891 0.0209 8.4846
1.8626 3.1845 6.2763
4.6791 1.7356 6.2763
3.8426 3.1845 8.4846
```

The calculation puts the size of the total moment at 2.01 μB/f.u. For the formation energy (no corrections), the calculation gives -3.28 eV/atom.

***

> Which of these has the highest formation energy (no corrections)?

CeUO